A plane-wave DFT calculation with PBE was carried out for a geometry-optimized K2NF7 structure.

a = 8.565 Å, b = 7.874 Å, c = 8.142 Å
α = 99.60°, β = 77.04°, γ = 52.26°
Sites, in units of the cell vectors:
F 0.194 0.170 0.002
F 0.951 0.413 0.494
F 0.261 0.747 0.022
K 0.382 0.137 0.250
F 0.026 0.007 0.717
F 0.049 0.587 0.506
F 0.284 0.697 0.275
N 0.803 0.127 0.795
F 0.447 0.917 0.494
F 0.716 0.303 0.725
F 0.553 0.083 0.506
F 0.694 0.670 0.004
K 0.877 0.628 0.250
F 0.974 0.993 0.283
F 0.806 0.830 0.998
K 0.618 0.863 0.750
F 0.739 0.253 0.978
N 0.197 0.873 0.205
K 0.123 0.372 0.750
F 0.306 0.330 0.996

Crystal system: triclinic
Total DFT energy (no corrections), eV for the cell shown: -73.3